[1]
The following is a DFT calculation (PBE) of crystalline LiGa2Pd2 at its relaxed geometry.

## Properties
- Crystal system: tetragonal
- Energy: -4.29 eV per atom

a = 7.2997 Å, b = 7.2997 Å, c = 2.9366 Å
α = 90.00°, β = 90.00°, γ = 90.00°
Fractional coordinates of all 10 atoms:
Li (0.0000, 0.0000, 0.0000)
Li (0.5000, 0.5000, 0.0000)
Ga (0.1415, 0.3585, 0.0000)
Ga (0.3585, 0.8585, 0.0000)
Ga (0.6415, 0.1415, 0.0000)
Ga (0.8585, 0.6415, 0.0000)
Pd (0.1569, 0.6569, 0.5000)
Pd (0.3431, 0.1569, 0.5000)
Pd (0.6569, 0.8431, 0.5000)
Pd (0.8431, 0.3431, 0.5000)

[2]
The following is a DFT calculation (PBE) of crystalline ZrZnCuBi at its relaxed geometry.

## Properties
- Magnetic moment: 0.0965 μB/atom
- Crystal system: cubic
- ΔE to the lowest computed polymorph: 33 meV/atom

a = 6.8707 Å, b = 6.8707 Å, c = 6.8707 Å
α = 90.00°, β = 90.00°, γ = 90.00°
Fractional coordinates of all 16 atoms:
Zr (0.0000, 0.0000, 0.0000)
Zr (0.0000, 0.5000, 0.5000)
Zr (0.5000, 0.0000, 0.5000)
Zr (0.5000, 0.5000, 0.0000)
Zn (0.2500, 0.2500, 0.7500)
Zn (0.2500, 0.7500, 0.2500)
Zn (0.7500, 0.2500, 0.2500)
Zn (0.7500, 0.7500, 0.7500)
Cu (0.0000, 0.0000, 0.5000)
Cu (0.0000, 0.5000, 0.0000)
Cu (0.5000, 0.0000, 0.0000)
Cu (0.5000, 0.5000, 0.5000)
Bi (0.2500, 0.2500, 0.2500)
Bi (0.2500, 0.7500, 0.7500)
Bi (0.7500, 0.2500, 0.7500)
Bi (0.7500, 0.7500, 0.2500)

[3]
The following is a DFT calculation (PBE) of crystalline Ta4Re25 at its relaxed geometry.

## Properties
- Calculated formation energy: -0.125 eV per atom
- Magnetic moment: 0.0007 μB/atom
- Crystal system: cubic

a = 8.3579 Å, b = 8.3579 Å, c = 8.3579 Å
α = 109.47°, β = 109.47°, γ = 109.47°
Fractional coordinates of all 29 atoms:
Ta (0.0000, 0.0000, 0.6424)
Ta (0.0000, 0.6424, 0.0000)
Ta (0.3576, 0.3576, 0.3576)
Ta (0.6424, 0.0000, 0.0000)
Re (0.0000, 0.0000, 0.0000)
Re (0.0000, 0.1937, 0.3765)
Re (0.0000, 0.3765, 0.1937)
Re (0.0000, 0.3988, 0.6824)
Re (0.0000, 0.6824, 0.3988)
Re (0.1829, 0.8063, 0.8063)
Re (0.1937, 0.0000, 0.3765)
Re (0.1937, 0.3765, 0.0000)
Re (0.2836, 0.6012, 0.6012)
Re (0.3176, 0.3176, 0.7164)
Re (0.3176, 0.7164, 0.3176)
Re (0.3765, 0.0000, 0.1937)
Re (0.3765, 0.1937, 0.0000)
Re (0.3988, 0.0000, 0.6824)
Re (0.3988, 0.6824, 0.0000)
Re (0.6012, 0.2836, 0.6012)
Re (0.6012, 0.6012, 0.2836)
Re (0.6235, 0.6235, 0.8171)
Re (0.6235, 0.8171, 0.6235)
Re (0.6824, 0.0000, 0.3988)
Re (0.6824, 0.3988, 0.0000)
Re (0.7164, 0.3176, 0.3176)
Re (0.8063, 0.1829, 0.8063)
Re (0.8063, 0.8063, 0.1829)
Re (0.8171, 0.6235, 0.6235)

[4]
The following is a DFT calculation (PBE) of crystalline Lu4Ta2Tl3N3 at its relaxed geometry.

## Properties
- Magnetic moment: 0.0000 μB/atom
- Crystal system: monoclinic
- Energy: -7.01 eV per atom

a = 5.8260 Å, b = 5.8260 Å, c = 15.0041 Å
α = 101.15°, β = 101.15°, γ = 60.32°
Fractional coordinates of all 24 atoms:
Lu (0.0351, 0.1914, 0.0875)
Lu (0.1316, 0.3043, 0.4125)
Lu (0.1914, 0.0351, 0.5875)
Lu (0.3043, 0.1316, 0.9125)
Lu (0.6957, 0.8684, 0.0875)
Lu (0.8086, 0.9649, 0.4125)
Lu (0.8684, 0.6957, 0.5875)
Lu (0.9649, 0.8086, 0.9125)
Ta (0.3562, 0.5235, 0.0710)
Ta (0.4765, 0.6438, 0.4290)
Ta (0.5235, 0.3562, 0.5710)
Ta (0.6438, 0.4765, 0.9290)
Tl (0.1101, 0.8899, 0.2500)
Tl (0.2760, 0.4175, 0.7514)
Tl (0.4175, 0.2760, 0.2514)
Tl (0.5825, 0.7240, 0.7486)
Tl (0.7240, 0.5825, 0.2486)
Tl (0.8899, 0.1101, 0.7500)
N (0.0000, 0.5000, 0.0000)
N (0.1713, 0.6651, 0.5000)
N (0.3349, 0.8287, 0.0000)
N (0.5000, 0.0000, 0.5000)
N (0.6651, 0.1713, 0.0000)
N (0.8287, 0.3349, 0.5000)

[5]
The following is a DFT calculation (PBE) of crystalline TbPmFe at its relaxed geometry.

## Properties
- Calculated formation energy: 0.239 eV per atom
- Magnetic moment: 0.0939 μB/atom
- Crystal system: cubic

a = 6.6880 Å, b = 6.6880 Å, c = 6.6880 Å
α = 90.00°, β = 90.00°, γ = 90.00°
Fractional coordinates of all 12 atoms:
Tb (0.0000, 0.0000, 0.0000)
Tb (0.0000, 0.5000, 0.5000)
Tb (0.5000, 0.0000, 0.5000)
Tb (0.5000, 0.5000, 0.0000)
Pm (0.0000, 0.0000, 0.5000)
Pm (0.0000, 0.5000, 0.0000)
Pm (0.5000, 0.0000, 0.0000)
Pm (0.5000, 0.5000, 0.5000)
Fe (0.2500, 0.2500, 0.7500)
Fe (0.2500, 0.7500, 0.2500)
Fe (0.7500, 0.2500, 0.2500)
Fe (0.7500, 0.7500, 0.7500)

[6]
The following is a DFT calculation (PBE) of crystalline AlAsAuO at its relaxed geometry.

## Properties
- Crystal system: tetragonal
- ΔE to the lowest computed polymorph: 152 meV/atom

a = 3.6719 Å, b = 3.6719 Å, c = 9.4474 Å
α = 90.00°, β = 90.00°, γ = 90.00°
Fractional coordinates of all 8 atoms:
Al (0.2500, 0.2500, 0.0821)
Al (0.7500, 0.7500, 0.9179)
As (0.2500, 0.2500, 0.7196)
As (0.7500, 0.7500, 0.2804)
Au (0.2500, 0.7500, 0.5000)
Au (0.7500, 0.2500, 0.5000)
O (0.2500, 0.7500, 0.0000)
O (0.7500, 0.2500, 0.0000)

[7]
The following is a DFT calculation (PBE) of crystalline La2DyTl2Zn3In at its relaxed geometry.

## Properties
- Magnetic moment: 0.0013 μB/atom
- Crystal system: orthorhombic
- Energy: -3.18 eV per atom

a = 4.6574 Å, b = 7.4829 Å, c = 7.4829 Å
α = 119.19°, β = 90.00°, γ = 90.00°
Fractional coordinates of all 9 atoms:
La (0.0000, 0.2163, 0.7837)
La (0.0000, 0.7837, 0.2163)
Dy (0.0000, 0.3546, 0.3546)
Tl (0.5000, 0.1252, 0.4438)
Tl (0.5000, 0.4438, 0.1252)
Zn (0.5000, 0.0159, 0.0159)
Zn (0.5000, 0.5453, 0.7844)
Zn (0.5000, 0.7844, 0.5453)
In (0.0000, 0.7719, 0.7719)

[8]
The following is a DFT calculation (PBE) of crystalline ErCu2Hg2 at its relaxed geometry.

## Properties
- Calculated formation energy: -0.100 eV per atom
- Magnetic moment: 0.0004 μB/atom
- Crystal system: monoclinic

a = 8.6825 Å, b = 4.3902 Å, c = 5.2286 Å
α = 90.00°, β = 91.75°, γ = 90.00°
Fractional coordinates of all 10 atoms:
Er (0.0000, 0.0000, 0.0000)
Er (0.5000, 0.5000, 0.0000)
Cu (0.1906, 0.5000, 0.1493)
Cu (0.3094, 0.0000, 0.8507)
Cu (0.6906, 0.0000, 0.1493)
Cu (0.8094, 0.5000, 0.8507)
Hg (0.1498, 0.5000, 0.6436)
Hg (0.3502, 0.0000, 0.3564)
Hg (0.6498, 0.0000, 0.6436)
Hg (0.8502, 0.5000, 0.3564)

[9]
The following is a DFT calculation (PBE) of crystalline Fe2SnOs at its relaxed geometry.

## Properties
- Magnetic moment: 1.3193 μB/atom
- Crystal system: cubic
- Energy: -7.74 eV per atom

a = 6.1485 Å, b = 6.1485 Å, c = 6.1485 Å
α = 90.00°, β = 90.00°, γ = 90.00°
Fractional coordinates of all 16 atoms:
Fe (0.0000, 0.0000, 0.0000)
Fe (0.0000, 0.5000, 0.5000)
Fe (0.2500, 0.2500, 0.2500)
Fe (0.2500, 0.7500, 0.7500)
Fe (0.5000, 0.0000, 0.5000)
Fe (0.5000, 0.5000, 0.0000)
Fe (0.7500, 0.2500, 0.7500)
Fe (0.7500, 0.7500, 0.2500)
Sn (0.0000, 0.0000, 0.5000)
Sn (0.0000, 0.5000, 0.0000)
Sn (0.5000, 0.0000, 0.0000)
Sn (0.5000, 0.5000, 0.5000)
Os (0.2500, 0.2500, 0.7500)
Os (0.2500, 0.7500, 0.2500)
Os (0.7500, 0.2500, 0.2500)
Os (0.7500, 0.7500, 0.7500)

[10]
The following is a DFT calculation (PBE) of crystalline ErTm2Mg3Ir2Au at its relaxed geometry.

## Properties
- Magnetic moment: 0.0009 μB/atom
- Crystal system: orthorhombic
- Energy: -5.05 eV per atom

a = 3.9983 Å, b = 7.3471 Å, c = 7.3471 Å
α = 120.03°, β = 90.00°, γ = 90.00°
Fractional coordinates of all 9 atoms:
Er (0.0000, 0.0000, 0.0000)
Tm (0.0000, 0.4182, 0.8361)
Tm (0.0000, 0.8361, 0.4182)
Mg (0.5000, 0.1640, 0.4184)
Mg (0.5000, 0.4184, 0.1640)
Mg (0.5000, 0.6722, 0.6722)
Ir (0.5000, 0.0851, 0.7509)
Ir (0.5000, 0.7509, 0.0851)
Au (0.0000, 0.4187, 0.4187)

[11]
The following is a DFT calculation (PBE) of crystalline KTcPO at its relaxed geometry.

## Properties
- Magnetic moment: 0.1555 μB/atom
- Crystal system: tetragonal
- ΔE to the lowest computed polymorph: 900 meV/atom

a = 3.5411 Å, b = 3.5411 Å, c = 9.5064 Å
α = 90.00°, β = 90.00°, γ = 90.00°
Fractional coordinates of all 8 atoms:
K (0.2500, 0.7500, 0.0000)
K (0.7500, 0.2500, 0.0000)
Tc (0.2500, 0.2500, 0.3688)
Tc (0.7500, 0.7500, 0.6312)
P (0.2500, 0.2500, 0.7448)
P (0.7500, 0.7500, 0.2552)
O (0.2500, 0.7500, 0.5000)
O (0.7500, 0.2500, 0.5000)

[12]
The following is a DFT calculation (PBE) of crystalline Er4Pb2C at its relaxed geometry.

## Properties
- Magnetic moment: 0.0012 μB/atom
- Crystal system: tetragonal
- Energy: -5.54 eV per atom

a = 4.7770 Å, b = 4.7770 Å, c = 15.9349 Å
α = 90.00°, β = 90.00°, γ = 90.00°
Fractional coordinates of all 14 atoms:
Er (0.0000, 0.0000, 0.1564)
Er (0.0000, 0.0000, 0.8436)
Er (0.0000, 0.5000, 0.0000)
Er (0.0000, 0.5000, 0.5000)
Er (0.5000, 0.0000, 0.0000)
Er (0.5000, 0.0000, 0.5000)
Er (0.5000, 0.5000, 0.3436)
Er (0.5000, 0.5000, 0.6564)
Pb (0.0000, 0.0000, 0.3572)
Pb (0.0000, 0.0000, 0.6428)
Pb (0.5000, 0.5000, 0.1428)
Pb (0.5000, 0.5000, 0.8572)
C (0.0000, 0.0000, 0.0000)
C (0.5000, 0.5000, 0.5000)

[13]
The following is a DFT calculation (PBE) of crystalline Co2N3 at its relaxed geometry.

## Properties
- Magnetic moment: 0.0195 μB/atom
- Crystal system: trigonal
- Energy: -7.27 eV per atom

a = 5.1299 Å, b = 5.1299 Å, c = 5.1299 Å
α = 54.81°, β = 54.81°, γ = 54.81°
Fractional coordinates of all 10 atoms:
Co (0.1473, 0.1473, 0.1473)
Co (0.3527, 0.3527, 0.3527)
Co (0.6473, 0.6473, 0.6473)
Co (0.8527, 0.8527, 0.8527)
N (0.0718, 0.7500, 0.4282)
N (0.2500, 0.5718, 0.9282)
N (0.4282, 0.0718, 0.7500)
N (0.5718, 0.9282, 0.2500)
N (0.7500, 0.4282, 0.0718)
N (0.9282, 0.2500, 0.5718)

[14]
The following is a DFT calculation (PBE) of crystalline ThFe at its relaxed geometry.

## Properties
- Calculated formation energy: 0.749 eV per atom
- Magnetic moment: 0.0027 μB/atom
- Crystal system: cubic

a = 5.8103 Å, b = 5.8103 Å, c = 5.8103 Å
α = 90.00°, β = 90.00°, γ = 90.00°
Fractional coordinates of all 8 atoms:
Th (0.0000, 0.0000, 0.0000)
Th (0.0000, 0.5000, 0.5000)
Th (0.5000, 0.0000, 0.5000)
Th (0.5000, 0.5000, 0.0000)
Fe (0.2500, 0.2500, 0.2500)
Fe (0.2500, 0.7500, 0.7500)
Fe (0.7500, 0.2500, 0.7500)
Fe (0.7500, 0.7500, 0.2500)

[15]
The following is a DFT calculation (PBE) of crystalline SiPdNO at its relaxed geometry.

## Properties
- Crystal system: tetragonal
- ΔE to the lowest computed polymorph: 1284 meV/atom

a = 3.8431 Å, b = 3.8431 Å, c = 6.0829 Å
α = 90.00°, β = 90.00°, γ = 90.00°
Fractional coordinates of all 8 atoms:
Si (0.2500, 0.7500, 0.0000)
Si (0.7500, 0.2500, 0.0000)
Pd (0.2500, 0.2500, 0.3646)
Pd (0.7500, 0.7500, 0.6354)
N (0.2500, 0.2500, 0.9585)
N (0.7500, 0.7500, 0.0415)
O (0.2500, 0.7500, 0.5000)
O (0.7500, 0.2500, 0.5000)

[16]
The following is a DFT calculation (PBE) of crystalline ZrSc at its relaxed geometry.

## Properties
- Calculated formation energy: -0.014 eV per atom
- Magnetic moment: 0.0007 μB/atom
- Crystal system: orthorhombic

a = 6.5077 Å, b = 16.8958 Å, c = 5.1222 Å
α = 90.00°, β = 90.00°, γ = 90.00°
Fractional coordinates of all 24 atoms:
Zr (0.1190, 0.1417, 0.2500)
Zr (0.1190, 0.3583, 0.7500)
Zr (0.1250, 0.6948, 0.7500)
Zr (0.1250, 0.8052, 0.2500)
Zr (0.3694, 0.6421, 0.2500)
Zr (0.3694, 0.8579, 0.7500)
Zr (0.6306, 0.1421, 0.2500)
Zr (0.6306, 0.3579, 0.7500)
Zr (0.8750, 0.1948, 0.7500)
Zr (0.8750, 0.3052, 0.2500)
Zr (0.8810, 0.6417, 0.2500)
Zr (0.8810, 0.8583, 0.7500)
Sc (0.1243, 0.0283, 0.7500)
Sc (0.1243, 0.4717, 0.2500)
Sc (0.3740, 0.5275, 0.7500)
Sc (0.3740, 0.9725, 0.2500)
Sc (0.3745, 0.1934, 0.7500)
Sc (0.3745, 0.3066, 0.2500)
Sc (0.6255, 0.6934, 0.7500)
Sc (0.6255, 0.8066, 0.2500)
Sc (0.6260, 0.0275, 0.7500)
Sc (0.6260, 0.4725, 0.2500)
Sc (0.8757, 0.5283, 0.7500)
Sc (0.8757, 0.9717, 0.2500)

[17]
The following is a DFT calculation (PBE) of crystalline ErTmCd2Au4 at its relaxed geometry.

## Properties
- Calculated formation energy: -0.678 eV per atom
- Magnetic moment: 0.0001 μB/atom
- Crystal system: tetragonal

a = 4.8987 Å, b = 4.8987 Å, c = 6.9291 Å
α = 90.00°, β = 90.00°, γ = 90.00°
Fractional coordinates of all 8 atoms:
Er (0.0000, 0.0000, 0.0000)
Tm (0.5000, 0.5000, 0.5000)
Cd (0.0000, 0.0000, 0.5000)
Cd (0.5000, 0.5000, 0.0000)
Au (0.0000, 0.5000, 0.2502)
Au (0.0000, 0.5000, 0.7498)
Au (0.5000, 0.0000, 0.2502)
Au (0.5000, 0.0000, 0.7498)

[18]
The following is a DFT calculation (PBE) of crystalline Dy5SiTe5 at its relaxed geometry.

## Properties
- Magnetic moment: 0.0003 μB/atom
- Crystal system: monoclinic
- Energy: -5.32 eV per atom

a = 7.4878 Å, b = 7.4878 Å, c = 8.5987 Å
α = 107.04°, β = 107.04°, γ = 48.06°
Fractional coordinates of all 11 atoms:
Dy (0.0000, 0.0000, 0.0000)
Dy (0.3441, 0.3441, 0.1588)
Dy (0.3447, 0.3447, 0.6838)
Dy (0.6553, 0.6553, 0.3162)
Dy (0.6559, 0.6559, 0.8412)
Si (0.5000, 0.5000, 0.0000)
Te (0.1641, 0.1641, 0.8252)
Te (0.1721, 0.1721, 0.3360)
Te (0.5000, 0.5000, 0.5000)
Te (0.8279, 0.8279, 0.6640)
Te (0.8359, 0.8359, 0.1748)

[19]
The following is a DFT calculation (PBE) of crystalline Ba2TlCuSb2 at its relaxed geometry.

## Properties
- Crystal system: trigonal
- Energy: -3.68 eV per atom

a = 4.7694 Å, b = 4.7694 Å, c = 10.0980 Å
α = 90.00°, β = 90.00°, γ = 120.00°
Fractional coordinates of all 6 atoms:
Ba (0.0000, 0.0000, 0.0000)
Ba (0.0000, 0.0000, 0.4595)
Tl (0.3333, 0.6667, 0.7953)
Cu (0.6667, 0.3333, 0.2216)
Sb (0.3333, 0.6667, 0.2266)
Sb (0.6667, 0.3333, 0.6684)

[20]
The following is a DFT calculation (PBE) of crystalline CdAsPd2 at its relaxed geometry.

## Properties
- Crystal system: cubic
- Energy: -4.10 eV per atom

a = 6.5075 Å, b = 6.5075 Å, c = 6.5075 Å
α = 90.00°, β = 90.00°, γ = 90.00°
Fractional coordinates of all 16 atoms:
Cd (0.0000, 0.0000, 0.0000)
Cd (0.0000, 0.5000, 0.5000)
Cd (0.5000, 0.0000, 0.5000)
Cd (0.5000, 0.5000, 0.0000)
As (0.2500, 0.2500, 0.7500)
As (0.2500, 0.7500, 0.2500)
As (0.7500, 0.2500, 0.2500)
As (0.7500, 0.7500, 0.7500)
Pd (0.0000, 0.0000, 0.5000)
Pd (0.0000, 0.5000, 0.0000)
Pd (0.2500, 0.2500, 0.2500)
Pd (0.2500, 0.7500, 0.7500)
Pd (0.5000, 0.0000, 0.0000)
Pd (0.5000, 0.5000, 0.5000)
Pd (0.7500, 0.2500, 0.7500)
Pd (0.7500, 0.7500, 0.2500)